DFT (PBE with a Hubbard U) results for a relaxed structure of In2MoO.

## Properties
Polymorph energy (0 for the lowest one) = 547.9 meV/atom
Uncorrected energy = -15.23 eV/f.u.
Space-group type = Fm-3m, No. 225

Cell lengths 4.8948, 4.8948, 4.8948 Å; angles 60.00, 60.00, 60.00 degrees
Closest atoms and distances in Å follow each position.
Fractional positions:
Mo 0.5000 0.5000 0.5000  8 In 3.00
O 0.0000 0.0000 0.0000  8 In 3.00
In 0.2500 0.2500 0.2500  4 Mo 3.00, 4 O 3.00
In 0.7500 0.7500 0.7500  4 Mo 3.00, 4 O 3.00